# 1
Below is Ac2CeSb3 after structural relaxation, with properties calculated at the GGA-PBE level.

a b c (Å): 8.1484 8.1606 14.8704
angles (deg): 100.54 100.52 109.48
Last column: nearest neighbours and their distance in Å.
Atoms (fractional coordinates):
Ac (0.4178, 0.4178, 0.8356)  6 Sb 3.35-3.41
Ac (0.8322, 0.3322, 0.6644)  6 Sb 3.35-3.41
Ac (0.9986, 0.4986, 0.9971)  6 Sb 3.33-3.39
Ac (0.5014, 0.0014, 0.0029)  6 Sb 3.33-3.39
Ac (0.6678, 0.1678, 0.3356)  6 Sb 3.35-3.41
Ac (0.5822, 0.5822, 0.1644)  6 Sb 3.35-3.41
Ac (0.7486, 0.7486, 0.4971)  6 Sb 3.33-3.39
Ac (0.2514, 0.2514, 0.5029)  6 Sb 3.33-3.39
Ce (0.9164, 0.9164, 0.8328)  6 Sb 3.23-3.25
Ce (0.0836, 0.0836, 0.1672)  6 Sb 3.23-3.25
Ce (0.3336, 0.8336, 0.6672)  6 Sb 3.23-3.25
Ce (0.1664, 0.6664, 0.3328)  6 Sb 3.23-3.25
Sb (0.8487, 0.3363, 0.1715)  2 Ce 3.23-3.25, 4 Ac 3.35-3.41
Sb (0.4013, 0.4137, 0.3285)  2 Ce 3.23-3.25, 4 Ac 3.35-3.41
Sb (0.7636, 0.7636, 0.0000)  2 Ce 3.24, 4 Ac 3.33-3.40
Sb (0.0851, 0.0728, 0.6715)  2 Ce 3.23-3.25, 4 Ac 3.35-3.41
Sb (0.1649, 0.6772, 0.8285)  2 Ce 3.23-3.25, 4 Ac 3.35-3.41
Sb (0.5863, 0.5986, 0.6715)  2 Ce 3.23-3.25, 4 Ac 3.35-3.41
Sb (0.9272, 0.9149, 0.3285)  2 Ce 3.23-3.25, 4 Ac 3.35-3.41
Sb (0.3228, 0.8351, 0.1715)  2 Ce 3.23-3.25, 4 Ac 3.35-3.41
Sb (0.6637, 0.1514, 0.8285)  2 Ce 3.23-3.25, 4 Ac 3.35-3.41
Sb (0.0136, 0.5136, 0.5000)  2 Ce 3.24, 4 Ac 3.33-3.40
Sb (0.2364, 0.2364, 0.0000)  2 Ce 3.24, 4 Ac 3.33-3.40
Sb (0.4864, 0.9864, 0.5000)  2 Ce 3.24, 4 Ac 3.33-3.40

Its space group is C2/c. The size of the total moment comes out at 0.81 μB/f.u. The calculation puts the total energy at -133.60 eV for the cell shown. As for the energy above the most stable polymorph in this dataset: 0.00 kcal/mol of atoms.



# 2
Below is CsAlHg2F8 after structural relaxation, with properties calculated at the GGA-PBE level.

a b c (Å): 5.0271 5.0275 8.4175
angles (deg): 86.32 91.79 91.80
Last column: nearest neighbours and their distance in Å.
Atoms (fractional coordinates):
Cs (0.0000, 0.0000, 0.5000)  8 F 2.89-3.22
F (0.3100, 0.2300, 0.9943)  1 Al 1.91
F (0.6900, 0.7700, 0.0057)  1 Al 1.91
F (0.8485, 0.2104, 0.8382)  1 Al 1.83
F (0.5111, 0.7198, 0.5907)  1 Hg 2.06
F (0.1314, 0.8078, 0.8499)  1 Al 1.79
F (0.4889, 0.2802, 0.4093)  1 Hg 2.06
F (0.1515, 0.7896, 0.1618)  1 Al 1.83
F (0.8686, 0.1922, 0.1501)  1 Al 1.79
Hg (0.5429, 0.5267, 0.2069)  2 F 2.06-2.16
Hg (0.4571, 0.4733, 0.7931)  2 F 2.06-2.16
Al (0.0000, 0.0000, 0.0000)  6 F 1.79-1.91

Its space group is P-1. The size of the total moment comes out at 0.00 μB/f.u. The calculation puts the total energy at -48.06 eV for the cell shown.



# 3
Below is Cr3Pb after structural relaxation, with properties calculated at the GGA-PBE level.

a b c (Å): 5.0475 5.0475 5.0475
angles (deg): 116.62 116.62 116.62
Last column: nearest neighbours and their distance in Å.
Atoms (fractional coordinates):
Cr (0.5000, 0.0000, 0.5000)  6 Cr 2.65-2.82, 2 Pb 2.65
Cr (0.0000, 0.0000, 0.0000)  6 Cr 2.65-2.82, 2 Pb 2.65
Cr (0.0000, 0.5000, 0.5000)  2 Pb 2.65, 6 Cr 2.65-2.82
Pb (0.5000, 0.5000, 0.0000)  6 Cr 2.65, 2 Pb 2.82

Its space group is R-3m. The calculation puts the formation energy at 0.93 eV/atom. The size of the total moment comes out at 2.11 μB/f.u. The calculation puts the total energy at -28.85 eV for the cell shown.



# 4
Below is Tb12RhAu6 after structural relaxation, with properties calculated at the GGA-PBE level.

a b c (Å): 8.3729 8.3729 8.3729
angles (deg): 98.62 98.62 98.62
Last column: nearest neighbours and their distance in Å.
Atoms (fractional coordinates):
Tb (0.9323, 0.0389, 0.6817)  1 Rh 2.72, 2 Au 2.94-3.01
Tb (0.4269, 0.5779, 0.1825)  4 Au 2.87-3.11
Tb (0.1825, 0.4269, 0.5779)  4 Au 2.87-3.11
Tb (0.3183, 0.0677, 0.9611)  1 Rh 2.72, 2 Au 2.94-3.01
Tb (0.5779, 0.1825, 0.4269)  4 Au 2.87-3.11
Tb (0.5731, 0.4221, 0.8175)  4 Au 2.87-3.11
Tb (0.6817, 0.9323, 0.0389)  1 Rh 2.72, 2 Au 2.94-3.01
Tb (0.0389, 0.6817, 0.9323)  1 Rh 2.72, 2 Au 2.94-3.01
Tb (0.0677, 0.9611, 0.3183)  1 Rh 2.72, 2 Au 2.94-3.01
Tb (0.8175, 0.5731, 0.4221)  4 Au 2.87-3.11
Tb (0.4221, 0.8175, 0.5731)  4 Au 2.87-3.11
Tb (0.9611, 0.3183, 0.0677)  1 Rh 2.72, 2 Au 2.94-3.01
Rh (0.0000, 0.0000, 0.0000)  6 Tb 2.72
Au (0.3044, 0.1317, 0.6233)  6 Tb 2.87-3.11
Au (0.3767, 0.6956, 0.8683)  6 Tb 2.87-3.11
Au (0.6233, 0.3044, 0.1317)  6 Tb 2.87-3.11
Au (0.8683, 0.3767, 0.6956)  6 Tb 2.87-3.11
Au (0.6956, 0.8683, 0.3767)  6 Tb 2.87-3.11
Au (0.1317, 0.6233, 0.3044)  6 Tb 2.87-3.11

Its space group is R-3. The calculation puts the formation energy at -0.51 eV/atom. The size of the total moment comes out at 0.00 μB/f.u. The calculation puts the total energy at -92.26 eV for the cell shown.



# 5
Below is NdHfPd2 after structural relaxation, with properties calculated at the GGA-PBE level.

a b c (Å): 4.9081 4.9081 4.9081
angles (deg): 60.00 60.00 60.00
Last column: nearest neighbours and their distance in Å.
Atoms (fractional coordinates):
Pd (0.7500, 0.7500, 0.7500)  4 Hf 3.01, 4 Nd 3.01
Pd (0.2500, 0.2500, 0.2500)  4 Nd 3.01, 4 Hf 3.01
Nd (0.5000, 0.5000, 0.5000)  8 Pd 3.01
Hf (0.0000, 0.0000, 0.0000)  8 Pd 3.01

Its space group is Fm-3m. The calculation puts the formation energy at -0.55 eV/atom. The size of the total moment comes out at 0.00 μB/f.u. The calculation puts the total energy at -27.32 eV for the cell shown. As for the energy above the most stable polymorph in this dataset: 3.19 kcal/mol of atoms.



# 6
Below is LaHgBiF2 after structural relaxation, with properties calculated at the GGA-PBE level.

a b c (Å): 4.5719 4.5719 6.9726
angles (deg): 90.00 90.00 90.00
Last column: nearest neighbours and their distance in Å.
Atoms (fractional coordinates):
La (0.0000, 0.0000, 0.0000)  4 F 2.29
F (0.0000, 0.5000, 0.0000)  2 La 2.29
F (0.5000, 0.0000, 0.0000)  2 La 2.29
Bi (0.0000, 0.0000, 0.5000)  4 Hg 3.23, 2 La 3.49
Hg (0.5000, 0.5000, 0.5000)  4 Bi 3.23

Its space group is P4/mmm. The size of the total moment comes out at 0.00 μB/f.u. The calculation puts the total energy at -23.91 eV for the cell shown. As for the energy above the most stable polymorph in this dataset: 0.00 kcal/mol of atoms.



# 7
Below is Nd5Bi2Os after structural relaxation, with properties calculated at the GGA-PBE level.

a b c (Å): 6.1310 5.9799 16.3179
angles (deg): 90.00 90.00 120.84
Last column: nearest neighbours and their distance in Å.
Atoms (fractional coordinates):
Bi (0.7467, 0.4934, 0.0545)  5 Nd 3.19-3.56, 2 Bi 3.55
Bi (0.2533, 0.5066, 0.5545)  5 Nd 3.19-3.56, 2 Bi 3.55
Bi (0.7467, 0.4934, 0.4455)  5 Nd 3.19-3.56, 2 Bi 3.55
Bi (0.2533, 0.5066, 0.9455)  5 Nd 3.19-3.56, 2 Bi 3.55
Nd (0.2522, 0.5045, 0.7500)  2 Os 3.07, 2 Bi 3.19
Nd (0.5811, 0.1622, 0.8770)  1 Os 2.74
Nd (0.5811, 0.1622, 0.6230)  1 Os 2.74
Nd (0.4189, 0.8378, 0.1230)  1 Os 2.74
Nd (0.0776, 0.1553, 0.3814)  1 Os 2.74
Nd (0.0776, 0.1553, 0.1186)  1 Os 2.74
Nd (0.7478, 0.4955, 0.2500)  2 Os 3.07, 2 Bi 3.19
Nd (0.9224, 0.8447, 0.6186)  1 Os 2.74
Nd (0.4189, 0.8378, 0.3770)  1 Os 2.74
Nd (0.9224, 0.8447, 0.8814)  1 Os 2.74
Os (0.7560, 0.5119, 0.7500)  6 Nd 2.74-3.07
Os (0.2440, 0.4881, 0.2500)  6 Nd 2.74-3.07

Its space group is Cmcm. The calculation puts the formation energy at -0.26 eV/atom. The size of the total moment comes out at 0.00 μB/f.u. The calculation puts the total energy at -89.81 eV for the cell shown.



# 8
Below is La3ZnN after structural relaxation, with properties calculated at the GGA-PBE level.

a b c (Å): 4.2496 4.2496 18.4219
angles (deg): 90.00 90.00 120.00
Last column: nearest neighbours and their distance in Å.
Atoms (fractional coordinates):
N (0.3333, 0.6667, 0.7500)  5 La 2.45-2.57
N (0.6667, 0.3333, 0.2500)  5 La 2.45-2.57
La (0.0000, 0.0000, 0.2500)  3 N 2.45
La (0.3333, 0.6667, 0.6103)  1 N 2.57
La (0.6667, 0.3333, 0.1103)  1 N 2.57
La (0.3333, 0.6667, 0.8897)  1 N 2.57
La (0.6667, 0.3333, 0.3897)  1 N 2.57
La (0.0000, 0.0000, 0.7500)  3 N 2.45
Zn (0.0000, 0.0000, 0.0000)  6 La 3.19
Zn (0.0000, 0.0000, 0.5000)  6 La 3.19

Its space group is P6_3/mmc. The size of the total moment comes out at 0.00 μB/f.u. The calculation puts the total energy at -53.70 eV for the cell shown. As for the energy above the most stable polymorph in this dataset: 4.65 kcal/mol of atoms.



# 9
Below is BaZn4Au8 after structural relaxation, with properties calculated at the GGA-PBE level.

a b c (Å): 5.4938 7.2287 7.2287
angles (deg): 81.70 67.67 67.67
Last column: nearest neighbours and their distance in Å.
Atoms (fractional coordinates):
Au (0.6571, 0.3429, 0.3429)  4 Zn 2.87, 5 Au 2.97-3.00
Au (0.0000, 0.3429, 0.6571)  4 Zn 2.87, 5 Au 2.97-3.00
Au (0.5000, 0.7757, 0.2243)  4 Zn 2.74, 6 Au 2.97-3.00
Au (0.2757, 0.2243, 0.2243)  4 Zn 2.74, 6 Au 2.97-3.00
Au (0.0000, 0.6571, 0.3429)  4 Zn 2.87, 5 Au 2.97-3.00
Au (0.3429, 0.6571, 0.6571)  4 Zn 2.87, 5 Au 2.97-3.00
Au (0.7243, 0.7757, 0.7757)  4 Zn 2.74, 6 Au 2.97-3.00
Au (0.5000, 0.2243, 0.7757)  4 Zn 2.74, 6 Au 2.97-3.00
Zn (0.5000, 0.5000, 0.0000)  8 Au 2.74-2.87, 2 Zn 2.75
Zn (0.5000, 0.0000, 0.5000)  8 Au 2.74-2.87, 2 Zn 2.75
Zn (0.0000, 0.5000, 0.0000)  8 Au 2.74-2.87, 2 Zn 2.75
Zn (0.0000, 0.0000, 0.5000)  8 Au 2.74-2.87, 2 Zn 2.75
Ba (0.0000, 0.0000, 0.0000)  12 Au 3.24-3.47, 8 Zn 3.61

Its space group is I4/mmm. The calculation puts the formation energy at -0.29 eV/atom. The size of the total moment comes out at 0.00 μB/f.u. The calculation puts the total energy at -37.04 eV for the cell shown.



# 10
Below is CeNiAu2 after structural relaxation, with properties calculated at the GGA-PBE level.

a b c (Å): 4.1194 5.2554 7.6983
angles (deg): 90.00 90.00 113.08
Last column: nearest neighbours and their distance in Å.
Atoms (fractional coordinates):
Au (0.6419, 0.2836, 0.0562)  3 Ni 2.67-2.68, 2 Au 2.88-2.98
Au (0.6419, 0.2836, 0.4438)  3 Ni 2.67-2.68, 2 Au 2.88-2.98
Au (0.3581, 0.7164, 0.9438)  3 Ni 2.67-2.68, 2 Au 2.88-2.98
Au (0.3581, 0.7164, 0.5562)  3 Ni 2.67-2.68, 2 Au 2.88-2.98
Ni (0.7703, 0.5408, 0.7500)  6 Au 2.67-2.68, 3 Ce 2.83-2.88
Ni (0.2297, 0.4592, 0.2500)  6 Au 2.67-2.68, 3 Ce 2.83-2.88
Ce (0.0628, 0.1255, 0.7500)  3 Ni 2.83-2.88
Ce (0.9372, 0.8745, 0.2500)  3 Ni 2.83-2.88

Its space group is Cmcm. The calculation puts the formation energy at -0.56 eV/atom. The size of the total moment comes out at 0.24 μB/f.u. The calculation puts the total energy at -41.00 eV for the cell shown.



# 11
Below is Sr3Li after structural relaxation, with properties calculated at the GGA-PBE level.

a b c (Å): 7.3720 7.3720 9.2977
angles (deg): 98.52 98.52 125.40
Last column: nearest neighbours and their distance in Å.
Atoms (fractional coordinates):
Sr (0.2073, 0.5335, 0.7628)  2 Li 3.58-3.89
Sr (0.8136, 0.8136, 0.6391)  2 Li 3.52
Sr (0.7927, 0.4665, 0.2372)  2 Li 3.58-3.89
Sr (0.5335, 0.2073, 0.7628)  2 Li 3.58-3.89
Sr (0.1864, 0.1864, 0.3609)  2 Li 3.52
Sr (0.4665, 0.7927, 0.2372)  2 Li 3.58-3.89
Li (0.1150, 0.8850, 0.0000)  1 Li 3.01
Li (0.8850, 0.1150, 0.0000)  1 Li 3.01

Its space group is C2/m. The calculation puts the formation energy at 0.11 eV/atom. The size of the total moment comes out at 0.00 μB/f.u. The calculation puts the total energy at -13.06 eV for the cell shown. As for the energy above the most stable polymorph in this dataset: 1.54 kcal/mol of atoms.



# 12
Below is LiCdRhF6 after structural relaxation, with properties calculated at the GGA-PBE level.

a b c (Å): 4.9282 4.9282 9.8565
angles (deg): 90.00 90.00 90.00
Last column: nearest neighbours and their distance in Å.
Atoms (fractional coordinates):
F (0.7107, 0.7107, 0.3247)  1 Rh 2.02, 1 Li 2.14, 1 Cd 2.25
F (0.8048, 0.1952, 0.1822)  1 Rh 2.02, 1 Li 2.13
F (0.6798, 0.6798, 0.9943)  1 Rh 2.02, 1 Li 2.11, 1 Cd 2.23
F (0.6952, 0.6952, 0.6822)  1 Rh 2.02, 1 Li 2.13
F (0.2893, 0.2893, 0.3247)  1 Rh 2.02, 1 Li 2.14, 1 Cd 2.25
F (0.3202, 0.3202, 0.9943)  1 Rh 2.02, 1 Li 2.11, 1 Cd 2.23
F (0.1798, 0.8202, 0.4943)  1 Rh 2.02, 1 Li 2.11, 1 Cd 2.23
F (0.3048, 0.3048, 0.6822)  1 Rh 2.02, 1 Li 2.13
F (0.8202, 0.1798, 0.4943)  1 Rh 2.02, 1 Li 2.11, 1 Cd 2.23
F (0.1952, 0.8048, 0.1822)  1 Rh 2.02, 1 Li 2.13
F (0.7893, 0.2107, 0.8247)  1 Rh 2.02, 1 Li 2.14, 1 Cd 2.25
F (0.2107, 0.7893, 0.8247)  1 Rh 2.02, 1 Li 2.14, 1 Cd 2.25
Cd (0.5000, 0.5000, 0.4975)  6 F 2.23-2.27
Cd (0.0000, 0.0000, 0.9975)  6 F 2.23-2.27
Li (0.0000, 0.0000, 0.6667)  6 F 2.11-2.14
Li (0.5000, 0.5000, 0.1667)  6 F 2.11-2.14
Rh (0.0000, 0.0000, 0.3335)  6 F 2.02
Rh (0.5000, 0.5000, 0.8335)  6 F 2.02

Its space group is P4_2nm. The size of the total moment comes out at 0.13 μB/f.u. The calculation puts the total energy at -80.18 eV for the cell shown.